First-principles (PBE) data for Li12AlAg3 after structural relaxation, as listed in the Alexandria database.

final energy: -2.313 eV per atom
Fermi-level density of states: 8.0 states/eV per cell
formation enthalpy at 0 K: -0.109 eV per atom

```
data_Li12AlAg3
_chemical_formula_sum 'Li12 Al1 Ag3'
_space_group_name_H-M_alt 'P 4/m m m'
_space_group_IT_number 123
_space_group_name_Hall '-P 4 2'
_cell_length_a 4.0850
_cell_length_b 4.0850
_cell_length_c 16.2363
_cell_angle_alpha 90.00
_cell_angle_beta 90.00
_cell_angle_gamma 90.00
loop_
_atom_site_label
_atom_site_type_symbol
_atom_site_fract_x
_atom_site_fract_y
_atom_site_fract_z
Li1 Li 0.0000 0.0000 0.0000
Li2 Li 0.0000 0.0000 0.2486
Li3 Li 0.0000 0.0000 0.5000
Li4 Li 0.0000 0.5000 0.1256
Li5 Li 0.0000 0.5000 0.3737
Al1 Al 0.5000 0.5000 0.5000
Ag1 Ag 0.5000 0.5000 0.0000
Ag2 Ag 0.5000 0.5000 0.2495
```



First-principles (PBE) data for Li5AlAg8 after structural relaxation, as listed in the Alexandria database.

final energy: -2.663 eV per atom
Fermi-level density of states: 9.8 states/eV per cell
formation enthalpy at 0 K: -0.083 eV per atom

```
data_Li5AlAg8
_chemical_formula_sum 'Li10 Al2 Ag16'
_space_group_name_H-M_alt 'I -4'
_space_group_IT_number 82
_cell_length_a 7.8165
_cell_length_b 7.8165
_cell_length_c 7.7957
_cell_angle_alpha 90.00
_cell_angle_beta 90.00
_cell_angle_gamma 90.00
loop_
_space_group_symop_operation_xyz
'x,y,z'
'y,-x,-z'
'-x,-y,z'
'-y,x,-z'
'x+1/2,y+1/2,z+1/2'
'y+1/2,-x+1/2,-z+1/2'
'-x+1/2,-y+1/2,z+1/2'
'-y+1/2,x+1/2,-z+1/2'
loop_
_atom_site_label
_atom_site_type_symbol
_atom_site_fract_x
_atom_site_fract_y
_atom_site_fract_z
Li1 Li 0.0000 0.0000 0.0000
Li2 Li 0.1230 0.7820 0.4117
Al1 Al 0.0000 0.5000 0.7500
Ag1 Ag 0.0689 0.6674 0.0907
Ag2 Ag 0.0882 0.8229 0.7461
```



First-principles (PBE) data for Li2AlAg8 after structural relaxation, as listed in the Alexandria database.

final energy: -2.853 eV per atom
Fermi-level density of states: 5.7 states/eV per cell
formation enthalpy at 0 K: -0.091 eV per atom

```
data_Li2AlAg8
_chemical_formula_sum 'Li4 Al2 Ag16'
_space_group_name_H-M_alt 'C 1 2/m 1'
_space_group_IT_number 12
_cell_length_a 14.5159
_cell_length_b 4.3536
_cell_length_c 6.0865
_cell_angle_alpha 90.00
_cell_angle_beta 102.37
_cell_angle_gamma 90.00
loop_
_space_group_symop_operation_xyz
'x,y,z'
'-x,-y,-z'
'-x,y,-z'
'x,-y,z'
'x+1/2,y+1/2,z'
'-x+1/2,-y+1/2,-z'
'-x+1/2,y+1/2,-z'
'x+1/2,-y+1/2,z'
loop_
_atom_site_label
_atom_site_type_symbol
_atom_site_fract_x
_atom_site_fract_y
_atom_site_fract_z
Li1 Li 0.2240 0.0000 0.1462
Al1 Al 0.0000 0.5000 0.5000
Ag1 Ag 0.0452 0.0000 0.2323
Ag2 Ag 0.0936 0.5000 0.9469
Ag3 Ag 0.1419 0.0000 0.6923
Ag4 Ag 0.1784 0.5000 0.4152
```